Ti3WI | Alexandria via LeMat-Bulk | PBE-GGA | relaxed; energy relative to the lowest polymorph listed for this composition = 0 kJ/mol of formula units; volume = 23.4 A^3/atom; formation energy (no corrections) = 0.9115 eV/atom; DOS at the Fermi energy = 7.3 states/eV/f.u.
1.0
4.8909 0.0000 0.0000
0.0000 4.8909 0.0000
0.0000 0.0000 4.8909
Ti W I
3 1 1
direct
0.0000 0.0000 0.5000
0.5000 0.0000 0.0000
0.0000 0.5000 0.0000
0.0000 0.0000 0.0000
0.5000 0.5000 0.5000


Ti3WI | Alexandria via LeMat-Bulk | PBE-GGA | relaxed; energy relative to the lowest polymorph listed for this composition = 319 kJ/mol of formula units; volume = 22.5 A^3/atom; formation energy (no corrections) = 1.5728 eV/atom; DOS at the Fermi energy = 8.9 states/eV/f.u.
1.0
-0.2714 4.7020 1.0637
-4.2650 0.2625 -2.2484
-2.2473 -1.0659 4.1385
Ti I W
3 1 1
direct
0.5000 0.0000 0.0000
0.0000 0.5000 0.0000
0.0000 0.0000 0.5000
0.0000 0.0000 0.0000
0.5000 0.5000 0.5000


Ti2W2I | Alexandria via LeMat-Bulk | PBE-GGA | relaxed; energy relative to the lowest polymorph listed for this composition = 99 kJ/mol of formula units; volume = 19.8 A^3/atom; formation energy (no corrections) = 0.7241 eV/atom; DOS at the Fermi energy = 7.9 states/eV/f.u.
1.0
7.8164 0.0000 0.0000
0.0000 7.8164 0.0000
0.0000 0.0000 3.2451
W I Ti
4 2 4
direct
0.8949 0.3949 0.5000
0.3949 0.1051 0.5000
0.1051 0.6051 0.5000
0.6051 0.8949 0.5000
0.5000 0.5000 0.0000
0.0000 0.0000 0.0000
0.6808 0.1808 0.0000
0.1808 0.3192 0.0000
0.3192 0.8192 0.0000
0.8192 0.6808 0.0000


Ti2WI | Alexandria via LeMat-Bulk | PBE-GGA | relaxed; energy relative to the lowest polymorph listed for this composition = 209 kJ/mol of formula units; volume = 26.4 A^3/atom; formation energy (no corrections) = 1.1556 eV/atom; DOS at the Fermi energy = 5.7 states/eV/f.u.
1.0
-4.7080 -1.1431 -2.6266
-1.1006 -3.9436 3.6889
-6.2376 2.0898 4.4896
I Ti W
2 4 2
direct
0.5000 0.5000 0.0000
0.2500 0.7500 0.5000
0.7032 0.1250 0.2500
0.3750 0.2968 0.7500
0.8750 0.9532 0.7500
0.0468 0.6250 0.2500
0.7500 0.2500 0.5000
0.0000 0.0000 0.0000


Ti2W2I | Alexandria via LeMat-Bulk | PBE-GGA | relaxed; energy relative to the lowest polymorph listed for this composition = 0 kJ/mol of formula units; volume = 21.8 A^3/atom; formation energy (no corrections) = 0.5184 eV/atom; DOS at the Fermi energy = 4.8 states/eV/f.u.
1.0
3.7079 0.0000 0.0000
0.0000 3.7079 0.0000
1.8540 1.8540 7.9444
Ti I W
2 1 2
direct
0.3772 0.3772 0.2456
0.6228 0.6228 0.7544
0.0000 0.0000 0.0000
0.7500 0.2500 0.5000
0.2500 0.7500 0.5000


Y2TiI | Alexandria via LeMat-Bulk | PBE-GGA | relaxed; energy relative to the lowest polymorph listed for this composition = 0 kJ/mol of formula units; volume = 27.4 A^3/atom; formation energy (no corrections) = 0.1987 eV/atom; DOS at the Fermi energy = 4.8 states/eV/f.u.
1.0
-4.3553 -2.9208 1.1679
-2.2076 0.3053 4.8884
-4.7559 2.4120 0.6539
Y I Ti
2 1 1
direct
0.7500 0.7500 0.7500
0.2500 0.2500 0.2500
0.5000 0.5000 0.5000
0.0000 0.0000 0.0000


Question: Which value of volume does entry 2 give?
Answer: 22.5 A^3/atom


Question: Among the records above, which one has the lowest volume?
Answer: number 3


Question: Look up the DOS at the Fermi energy of the third one.
Answer: 7.9 states/eV/f.u.